The following is a DFT calculation (PBE-GGA) of a relaxed structure of Rb2Te2Cl.

The structure in CIF format:
```
data_Rb2Te2Cl
_chemical_formula_sum 'Rb4 Te4 Cl2'
_cell_length_a 4.4454
_cell_length_b 4.4454
_cell_length_c 19.5485
_cell_angle_alpha 90.00
_cell_angle_beta 90.00
_cell_angle_gamma 90.00
_symmetry_space_group_name_H-M 'I 4/m m m'
_symmetry_Int_Tables_number 139
_symmetry_space_group_name_Hall '-I 4 2'
loop_
_atom_site_label
_atom_site_type_symbol
_atom_site_fract_x
_atom_site_fract_y
_atom_site_fract_z
Rb1 Rb 0.0000 0.0000 0.0959
Te1 Te 0.0000 0.5000 0.2500
Cl1 Cl 0.0000 0.0000 0.5000
```

Computed properties:
- raw formation energy (eV/atom) = -1.086
- magnetic moment (μB per atom) = 0.000
- energy above the most stable polymorph in this dataset (eV/f.u.) = 0.00
- total DFT energy (no corrections) (eV/atom) = -3.10